[1]
MnHgSe: optimized geometry, GGA-PBE.

Unit cell a=3.8787 b=3.8787 c=9.8787 alpha=101.02 beta=101.02 gamma=90.21
Fractional positions:
Mn 0.2502 0.7498 0.0000
Mn 0.7498 0.2502 0.0000
Hg 0.2500 0.7500 0.5000
Hg 0.7500 0.2500 0.5000
Se 0.1756 0.1756 0.8483
Se 0.8244 0.8244 0.1517

---

[2]
RuSe2S: optimized geometry, GGA-PBE.

Unit cell a=3.6168 b=5.8096 c=10.0543 alpha=75.69 beta=83.58 gamma=89.88
Fractional positions:
Ru 0.2497 0.1969 0.0020
Ru 0.7503 0.8031 0.9980
Se 0.2106 0.5360 0.1270
Se 0.3028 0.9775 0.8286
Se 0.6972 0.0225 0.1714
Se 0.7894 0.4640 0.8730
S 0.2714 0.5865 0.5161
S 0.7286 0.4135 0.4839

---

[3]
LiAsSe2Br: optimized geometry, GGA-PBE.

Unit cell a=5.0394 b=5.0394 c=5.5198 alpha=90.00 beta=90.00 gamma=90.00
Fractional positions:
Li 0.0000 0.0000 0.0000
As 0.5000 0.5000 0.5000
Se 0.0000 0.5000 0.5000
Se 0.5000 0.0000 0.5000
Br 0.5000 0.5000 0.0000

---

In kJ/mol of atoms, the energy relative to the elements, uncorrected values for the records above are, in order, -7.0, -17.4, -10.7.